Entry 1:
The following is a PBE calculation of a geometry-optimized CaMgFe structure, from the Alexandria database.

abc: 4.871 4.871 3.319
angles: 90.00 90.00 120.00
Sites, in units of the cell vectors:
Ca  0.000  0.000  0.000
Mg  0.667  0.333  0.500
Fe  0.333  0.667  0.500

Output
symmetry: P-6m2 (187)


Entry 2:
The following is a PBE calculation of a geometry-optimized CaMg2Fe2 structure, from the Alexandria database.

abc: 6.421 6.421 6.421
angles: 141.23 141.23 55.98
Sites, in units of the cell vectors:
Ca  0.000  0.000  0.000
Mg  0.250  0.750  0.500
Mg  0.750  0.250  0.500
Fe  0.406  0.406  0.000
Fe  0.594  0.594  0.000

Output
E above lowest polymorph: 0.146 eV per formula unit
symmetry: I4/mmm (139)


Entry 3:
The following is a PBE calculation of a geometry-optimized CaMg2Fe structure, from the Alexandria database.

abc: 5.386 5.386 5.386
angles: 130.94 130.94 71.91
Sites, in units of the cell vectors:
Ca  0.000  0.000  0.000
Mg  0.250  0.750  0.500
Mg  0.750  0.250  0.500
Fe  0.500  0.500  0.000

Output
symmetry: I4/mmm (139)


Entry 4:
The following is a PBE calculation of a geometry-optimized CaMg2Fe structure, from the Alexandria database.

abc: 6.212 6.212 6.212
angles: 150.04 131.12 58.40
Sites, in units of the cell vectors:
Ca  0.000  0.000  0.000
Mg  0.294  0.794  0.500
Mg  0.706  0.206  0.500
Fe  0.500  0.500  0.000

Output
symmetry: Immm (71)


Entry 5:
The following is a PBE calculation of a geometry-optimized CaMg2Fe structure, from the Alexandria database.

abc: 5.696 5.696 5.461
angles: 109.30 109.30 32.49
Sites, in units of the cell vectors:
Ca  0.000  0.000  0.000
Mg  0.569  0.569  0.554
Mg  0.797  0.797  0.353
Fe  0.256  0.256  0.876

Output
symmetry: Cm (8)


Entry 6:
The following is a PBE calculation of a geometry-optimized CaMg2Fe structure, from the Alexandria database.

abc: 10.650 10.650 10.650
angles: 157.19 157.19 32.48
Sites, in units of the cell vectors:
Ca  0.000  0.000  0.000
Ca  0.750  0.250  0.500
Mg  0.167  0.625  0.042
Mg  0.375  0.417  0.542
Mg  0.583  0.125  0.958
Mg  0.875  0.833  0.458
Fe  0.250  0.750  0.500
Fe  0.500  0.500  0.000

Output
symmetry: I-42d (122)


no.,Fermi-level density of states (states/eV/cell),magnetic moment (Bohr magnetons per cell),formation energy from the elements (eV per atom)
1,6.0,2.322,0.451
2,5.2,4.138,0.333
3,6.4,1.997,0.328
4,3.6,1.973,0.256
5,3.8,2.051,0.332
6,5.5,0.010,0.733